(1)
This record from Alexandria via LeMat-Bulk describes a relaxed Pr3Sm4Ir4 crystal. The functional is PBE.

a = 4.4743 Å, b = 8.1573 Å, c = 15.7335 Å
α = 90.00°, β = 90.00°, γ = 90.00°
Space group Immm (No. 71)
Inequivalent atoms, fractional coordinates:
Pr1 0.0000 0.0000 0.0000 x2
Pr2 0.0000 0.5000 0.1015 x4
Sm1 0.0000 0.2932 0.3316 x8
Ir1 0.0000 0.0000 0.2136 x4
Ir2 0.0000 0.1822 0.5000 x4

Values from the calculation:
The formation energy is -0.5116 eV/atom. The calculation puts the density of states at the Fermi level at 16.6 states/eV/cell.


(2)
This record from Alexandria via LeMat-Bulk describes a relaxed NaSmY crystal. The functional is PBE.

a = 3.5844 Å, b = 3.5844 Å, c = 9.1982 Å
α = 90.00°, β = 90.00°, γ = 120.00°
Space group P3m1 (No. 156)
Inequivalent atoms, fractional coordinates:
Na1 0.0000 0.0000 0.0000 x1
Sm1 0.3333 0.6667 0.6493 x1
Y1 0.6667 0.3333 0.3461 x1

Values from the calculation:
The energy above the lowest structure with this stoichiometry comes out at 10 meV per atom. The formation energy is 0.1290 eV/atom. The calculation puts the density of states at the Fermi level at 4.4 states/eV/cell.


(3)
This record from Alexandria via LeMat-Bulk describes a relaxed Pa2CdS crystal. The functional is PBE.

a = 3.3331 Å, b = 3.3331 Å, c = 31.4747 Å
α = 90.00°, β = 90.00°, γ = 120.00°
Space group R-3m (No. 166, hexagonal axes)
Inequivalent atoms, fractional coordinates:
Pa1 0.0000 0.0000 0.1048 x6
Cd1 0.0000 0.0000 0.0000 x3
S1 0.0000 0.0000 0.5000 x3

Values from the calculation:
The calculation puts the formation energy (no corrections) at -276 meV/atom. The calculation puts the density of states at the Fermi level at 20.2 states/eV/cell.


(4)
This record from Alexandria via LeMat-Bulk describes a relaxed AlAgTe crystal. The functional is PBE.

a = 3.0479 Å, b = 3.6631 Å, c = 11.9703 Å
α = 90.00°, β = 90.00°, γ = 90.00°
Space group Imm2 (No. 44)
Inequivalent atoms, fractional coordinates:
Al1 0.0000 0.0000 0.0000 x2
Ag1 0.0000 0.0000 0.3747 x2
Te1 0.0000 0.0000 0.6716 x2

Values from the calculation:
The energy above the lowest structure with this stoichiometry comes out at 285 meV per atom. The calculation puts the formation energy (no corrections) at 172 meV/atom. The calculation puts the density of states at the Fermi level at 2.8 states/eV/cell.


(5)
This record from Alexandria via LeMat-Bulk describes a relaxed FeCuAu2 crystal. The functional is PBE.

a = 9.2680 Å, b = 2.8374 Å, c = 4.7422 Å
α = 90.00°, β = 101.49°, γ = 90.00°
Space group Cm (No. 8)
Inequivalent atoms, fractional coordinates:
Fe1 0.0000 0.0000 0.0000 x2
Cu1 0.2637 0.0000 0.7335 x2
Au1 0.0121 0.5000 0.5170 x2
Au2 0.2487 0.5000 0.2110 x2

Values from the calculation:
The formation energy is 0.1033 eV/atom. The calculation puts the density of states at the Fermi level at 5.7 states/eV/cell.


(6)
This record from Alexandria via LeMat-Bulk describes a relaxed KNpIrO6 crystal. The functional is PBE.

a = 7.2420 Å, b = 7.8358 Å, c = 10.5434 Å
α = 90.00°, β = 90.00°, γ = 90.00°
Space group Imma (No. 74)
Inequivalent atoms, fractional coordinates:
K1 0.0000 0.2500 0.0980 x4
Np1 0.0000 0.0000 0.5000 x4
Ir1 0.2500 0.2500 0.7500 x4
O1 0.0000 0.2500 0.4233 x4
O2 0.0000 0.2500 0.8113 x4
O3 0.1998 0.0679 0.6228 x16

Values from the calculation:
The calculation puts the formation energy (no corrections) at -1842 meV/atom. The calculation puts the density of states at the Fermi level at 26.5 states/eV/cell.


(7)
This record from Alexandria via LeMat-Bulk describes a relaxed DyAl2Cu crystal. The functional is PBE.

a = 15.6580 Å, b = 6.7930 Å, c = 5.5071 Å
α = 90.00°, β = 90.00°, γ = 90.00°
Space group Pnma (No. 62)
Inequivalent atoms, fractional coordinates:
Dy1 0.1097 0.2500 0.2367 x4
Dy2 0.1442 0.7500 0.4720 x4
Al1 0.0339 0.0525 0.7428 x8
Al2 0.2158 0.5554 0.9603 x8
Cu1 0.0728 0.7500 0.9899 x4
Cu2 0.1732 0.2500 0.7254 x4

Values from the calculation:
The formation energy is -0.4355 eV/atom. The calculation puts the density of states at the Fermi level at 12.0 states/eV/cell.


(8)
This record from Alexandria via LeMat-Bulk describes a relaxed Tc2AsIrBr crystal. The functional is PBE.

a = 4.5773 Å, b = 4.5773 Å, c = 4.6386 Å
α = 90.00°, β = 90.00°, γ = 90.00°
Space group P4/mmm (No. 123)
Inequivalent atoms, fractional coordinates:
Tc1 0.0000 0.5000 0.0000 x2
As1 0.0000 0.0000 0.5000 x1
Ir1 0.5000 0.5000 0.5000 x1
Br1 0.5000 0.5000 0.0000 x1

Values from the calculation:
The calculation puts the formation energy (no corrections) at 1785 meV/atom. The calculation puts the density of states at the Fermi level at 6.1 states/eV/cell.


(9)
This record from Alexandria via LeMat-Bulk describes a relaxed CaMoAu4 crystal. The functional is PBE.

a = 7.8787 Å, b = 7.8787 Å, c = 7.8787 Å
α = 90.00°, β = 90.00°, γ = 90.00°
Space group F-43m (No. 216)
Inequivalent atoms, fractional coordinates:
Ca1 0.0000 0.0000 0.0000 x4
Mo1 0.2500 0.2500 0.7500 x4
Au1 0.1248 0.1248 0.3752 x16

Values from the calculation:
The formation energy is 0.0847 eV/atom. The calculation puts the density of states at the Fermi level at 16.1 states/eV/cell.


(10)
This record from Alexandria via LeMat-Bulk describes a relaxed Ac6Cd3Au crystal. The functional is PBE.

a = 10.5028 Å, b = 5.5759 Å, c = 13.1267 Å
α = 90.00°, β = 111.84°, γ = 90.00°
Space group P2_1/m (No. 11)
Inequivalent atoms, fractional coordinates:
Ac1 0.0158 0.2500 0.3992 x2
Ac2 0.1596 0.7500 0.1894 x2
Ac3 0.2281 0.2500 0.0190 x2
Ac4 0.3716 0.2500 0.6450 x2
Ac5 0.3765 0.7500 0.8591 x2
Ac6 0.3930 0.2500 0.3685 x2
Cd1 0.0429 0.7500 0.8792 x2
Cd2 0.1248 0.2500 0.7427 x2
Cd3 0.2506 0.7500 0.4747 x2
Au1 0.4154 0.7500 0.1108 x2

Values from the calculation:
The formation energy is -0.2806 eV/atom. The calculation puts the density of states at the Fermi level at 20.1 states/eV/cell.


(11)
This record from Alexandria via LeMat-Bulk describes a relaxed ZrTaFeTc crystal. The functional is PBE.

a = 3.1872 Å, b = 3.1872 Å, c = 6.3488 Å
α = 90.00°, β = 90.00°, γ = 90.00°
Space group P4mm (No. 99)
Inequivalent atoms, fractional coordinates:
Zr1 0.0000 0.0000 0.0000 x1
Ta1 0.0000 0.0000 0.4898 x1
Fe1 0.5000 0.5000 0.2565 x1
Tc1 0.5000 0.5000 0.7309 x1

Values from the calculation:
The formation energy is -0.3081 eV/atom. The calculation puts the density of states at the Fermi level at 1.2 states/eV/cell.


(12)
This record from Alexandria via LeMat-Bulk describes a relaxed La2Pr2Tm7 crystal. The functional is PBE.

a = 17.5930 Å, b = 11.6860 Å, c = 3.6448 Å
α = 90.00°, β = 101.93°, γ = 90.00°
Space group C2/m (No. 12)
Inequivalent atoms, fractional coordinates:
La1 0.1937 0.0000 0.1928 x4
Pr1 0.0000 0.2569 0.0000 x4
Tm1 0.0000 0.0000 0.5000 x2
Tm2 0.1158 0.5000 0.1162 x4
Tm3 0.1689 0.2619 0.6689 x8

Values from the calculation:
The energy above the lowest structure with this stoichiometry comes out at 0 meV per atom. The formation energy is 0.1254 eV/atom. The calculation puts the density of states at the Fermi level at 28.1 states/eV/cell.